An optimized crystal structure of DyYCr2O8, computed with PBE with a Hubbard U.

Cell: 5.997 5.997 5.997 Å, 106.00 106.00 116.66°
Sites, in units of the cell vectors:
1 Dy 0.000 0.000 0.000
2 Y 0.250 0.750 0.500
3 Cr 0.500 0.500 0.000
4 Cr 0.750 0.250 0.500
5 O 0.325 0.142 0.816
6 O 0.325 0.509 0.184
7 O 0.392 0.076 0.316
8 O 0.491 0.675 0.816
9 O 0.760 0.076 0.684
10 O 0.858 0.675 0.184
11 O 0.924 0.240 0.316
12 O 0.924 0.608 0.684

Results
uncorrected energy: -93.6 eV per formula unit
density: 4.9 Mg/m³
space-group type: I-4m2 (119)